Entry 1:
Na2GePb2: optimized geometry, PBE-GGA.

The structure in POSCAR format:
```
Na2GePb2
1.0
4.677 0.000 0.000
0.000 4.677 0.000
-2.338 -2.338 13.136
Pb Ge Na
4 2 4
direct
0.316 0.316 0.633 Pb
0.434 0.934 0.867 Pb
0.684 0.684 0.367 Pb
0.066 0.566 0.133 Pb
0.500 0.500 0.000 Ge
0.250 0.750 0.500 Ge
0.826 0.826 0.652 Na
0.924 0.424 0.848 Na
0.174 0.174 0.348 Na
0.576 0.076 0.152 Na
```

Calculated values
* ΔE_f: -0.03 eV per atom
* final energy: -29.69 eV for the cell shown
* total magnetic moment: 0.00 μB per atom
* SG: I4_1/amd, No. 141
* relative energy among the computed polymorphs: 0 meV per atom

Entry 2:
Na2Ge2Pb: optimized geometry, PBE-GGA.

The structure in POSCAR format:
```
Na2Ge2Pb
1.0
-7.960 -3.880 1.139
1.466 -0.426 8.797
-1.301 2.772 0.351
Na Ge Pb
4 4 2
direct
0.619 0.119 0.000 Na
0.119 0.381 0.000 Na
0.881 0.619 0.000 Na
0.381 0.881 0.000 Na
0.320 0.180 0.500 Ge
0.180 0.680 0.500 Ge
0.820 0.320 0.500 Ge
0.680 0.820 0.500 Ge
0.500 0.500 0.000 Pb
0.000 0.000 0.000 Pb
```

Calculated values
* ΔE_f: 0.15 eV per atom
* final energy: -29.63 eV for the cell shown
* total magnetic moment: 0.00 μB per atom
* SG: P4/mbm, No. 127
* relative energy among the computed polymorphs: 193 meV per atom

Entry 3:
NaGePb2: optimized geometry, PBE-GGA.

The structure in POSCAR format:
```
NaGePb2
1.0
8.695 0.000 0.000
0.000 8.695 0.000
4.348 4.348 3.150
Na Pb Ge
2 4 2
direct
0.500 0.500 0.000 Na
0.250 0.750 0.500 Na
0.681 0.125 0.250 Pb
0.375 0.319 0.750 Pb
0.069 0.625 0.250 Pb
0.875 0.931 0.750 Pb
0.750 0.250 0.500 Ge
0.000 0.000 0.000 Ge
```

Calculated values
* ΔE_f: 0.03 eV per atom
* final energy: -26.44 eV for the cell shown
* total magnetic moment: 0.00 μB per atom
* SG: I-42d, No. 122

Entry 4:
Na2Ge2Pb: optimized geometry, PBE-GGA.

The structure in POSCAR format:
```
Na2Ge2Pb
1.0
5.851 0.000 0.000
-2.925 5.372 -0.069
0.000 -2.593 8.486
Pb Ge Na
2 4 4
direct
0.136 0.000 0.750 Pb
0.864 0.000 0.250 Pb
0.703 0.690 0.492 Ge
0.297 0.310 0.508 Ge
0.013 0.310 0.008 Ge
0.987 0.690 0.992 Ge
0.501 0.285 0.148 Na
0.499 0.715 0.852 Na
0.784 0.285 0.648 Na
0.216 0.715 0.352 Na
```

Calculated values
* ΔE_f: -0.04 eV per atom
* final energy: -31.55 eV for the cell shown
* total magnetic moment: 0.00 μB per atom
* SG: C2/c, No. 15
* relative energy among the computed polymorphs: 0 meV per atom

Entry 5:
NaGePb3: optimized geometry, PBE-GGA.

The structure in POSCAR format:
```
NaGePb3
1.0
5.490 0.000 0.000
0.000 5.490 0.000
0.000 0.000 5.490
Pb Na Ge
3 1 1
direct
0.000 0.500 0.000 Pb
0.500 0.000 0.000 Pb
0.000 0.000 0.500 Pb
0.000 0.000 0.000 Na
0.500 0.500 0.500 Ge
```

Calculated values
* ΔE_f: 0.68 eV per atom
* final energy: -13.67 eV for the cell shown
* total magnetic moment: 0.00 μB per atom
* SG: Pm-3m, No. 221
* relative energy among the computed polymorphs: 382 meV per atom

Entry 6:
Na2Ge2Pb: optimized geometry, PBE-GGA.

The structure in POSCAR format:
```
Na2Ge2Pb
1.0
4.568 0.000 0.000
0.000 4.568 0.000
2.284 2.284 6.347
Na Pb Ge
2 1 2
direct
0.750 0.250 0.500 Na
0.250 0.750 0.500 Na
0.000 0.000 0.000 Pb
0.409 0.409 0.183 Ge
0.591 0.591 0.817 Ge
```

Calculated values
* ΔE_f: 0.01 eV per atom
* final energy: -15.55 eV for the cell shown
* total magnetic moment: 0.00 μB per atom
* SG: I4/mmm, No. 139
* relative energy among the computed polymorphs: 46 meV per atom

Entry 7:
Na2GePb: optimized geometry, PBE-GGA.

The structure in POSCAR format:
```
Na2GePb
1.0
-0.534 -2.943 3.888
4.456 -0.638 0.129
0.428 3.545 2.743
Na Pb Ge
2 1 1
direct
0.000 0.500 0.000 Na
0.000 0.000 0.500 Na
0.500 0.500 0.500 Pb
0.500 0.000 0.000 Ge
```

Calculated values
* ΔE_f: -0.03 eV per atom
* final energy: -11.10 eV for the cell shown
* total magnetic moment: 0.00 μB per atom
* SG: P4/mmm, No. 123
* relative energy among the computed polymorphs: 26 meV per atom

Entry 8:
NaGe2Pb2: optimized geometry, PBE-GGA.

The structure in POSCAR format:
```
NaGe2Pb2
1.0
8.033 0.000 0.000
0.000 8.033 0.000
0.000 0.000 4.176
Ge Na Pb
4 2 4
direct
0.884 0.616 0.000 Ge
0.384 0.884 0.000 Ge
0.616 0.116 0.000 Ge
0.116 0.384 0.000 Ge
0.500 0.500 0.000 Na
0.000 0.000 0.000 Na
0.334 0.166 0.500 Pb
0.666 0.834 0.500 Pb
0.834 0.334 0.500 Pb
0.166 0.666 0.500 Pb
```

Calculated values
* ΔE_f: 0.05 eV per atom
* final energy: -35.45 eV for the cell shown
* total magnetic moment: 0.00 μB per atom
* SG: P4/mbm, No. 127
* relative energy among the computed polymorphs: 0 meV per atom

Entry 9:
Na2Ge3Pt4Pb: optimized geometry, PBE-GGA.

The structure in POSCAR format:
```
Na2Ge3Pt4Pb
1.0
4.423 0.000 0.000
0.000 4.423 0.000
0.000 0.000 10.530
Na Ge Pt Pb
2 3 4 1
direct
0.500 0.000 0.234 Na
0.000 0.500 0.766 Na
0.000 0.500 0.118 Ge
0.000 0.000 0.500 Ge
0.500 0.000 0.882 Ge
0.500 0.500 0.000 Pt
0.500 0.000 0.651 Pt
0.000 0.500 0.349 Pt
0.000 0.000 0.000 Pt
0.500 0.500 0.500 Pb
```

Calculated values
* ΔE_f: -0.38 eV per atom
* final energy: -48.16 eV for the cell shown
* total magnetic moment: 0.00 μB per atom
* SG: P-4m2, No. 115

Entry 10:
Na2GePtPb: optimized geometry, PBE-GGA.

The structure in POSCAR format:
```
Na2GePtPb
1.0
-3.291 1.075 4.677
-1.423 -4.920 0.130
4.519 -1.215 3.459
Pt Ge Na Pb
1 1 2 1
direct
0.000 0.500 0.000 Pt
0.500 0.500 0.500 Ge
0.000 0.000 0.500 Na
0.500 0.000 0.000 Na
0.000 0.000 0.000 Pb
```

Calculated values
* ΔE_f: 0.59 eV per atom
* final energy: -14.03 eV for the cell shown
* total magnetic moment: 0.00 μB per atom
* SG: P4/mmm, No. 123

Entry 11:
RbNa2GePb: optimized geometry, PBE-GGA.

The structure in POSCAR format:
```
RbNa2GePb
1.0
-0.226 5.375 -2.123
-5.536 0.408 1.622
1.651 2.088 5.109
Na Rb Pb Ge
2 1 1 1
direct
0.000 0.500 0.000 Na
0.500 0.000 0.000 Na
0.500 0.500 0.500 Rb
0.000 0.000 0.500 Pb
0.000 0.000 0.000 Ge
```

Calculated values
* ΔE_f: 0.04 eV per atom
* final energy: -11.75 eV for the cell shown
* total magnetic moment: 0.00 μB per atom
* SG: P4/mmm, No. 123

Entry 12:
NaGe2PbS6: optimized geometry, PBE-GGA.

The structure in POSCAR format:
```
NaGe2PbS6
1.0
-1.190 -4.274 5.144
3.317 -7.449 -3.000
7.440 0.394 4.470
S Na Ge Pb
12 2 4 2
direct
0.983 0.320 0.417 S
0.483 0.417 0.320 S
0.517 0.583 0.680 S
0.891 0.405 0.917 S
0.671 0.816 0.970 S
0.017 0.680 0.583 S
0.391 0.917 0.405 S
0.829 0.030 0.184 S
0.609 0.083 0.595 S
0.329 0.184 0.030 S
0.171 0.970 0.816 S
0.109 0.595 0.083 S
0.250 0.323 0.677 Na
0.750 0.677 0.323 Na
0.736 0.202 0.367 Ge
0.264 0.798 0.633 Ge
0.764 0.633 0.798 Ge
0.236 0.367 0.202 Ge
0.750 0.133 0.867 Pb
0.250 0.867 0.133 Pb
```

Calculated values
* final energy: -86.39 eV for the cell shown
* energy relative to the elements, uncorrected: -0.4167 eV/atom
* total magnetic moment: 0.00 μB per atom
* SG: C2/c, No. 15

What is the final energy in the seventh record?
-11.10 eV for the cell shown